Below is KIn2Hg after structural relaxation, with properties calculated at the GGA-PBE level.

Summary:
size of the total moment: 0.000 μB per cell
total DFT energy (no corrections): -6.81 eV/cell
energy of formation from the pure elements: 0.02 eV per atom

Unit cell a=10.611 b=10.611 c=10.611 alpha=20.08 beta=20.08 gamma=20.08
Positions (direct):
K 0.000 0.000 0.000
In 0.238 0.238 0.238
In 0.762 0.762 0.762
Hg 0.500 0.500 0.500


Below is K2In15Hg2 after structural relaxation, with properties calculated at the GGA-PBE level.

Summary:
size of the total moment: 0.000 μB per cell
total DFT energy (no corrections): -44.33 eV/cell
energy of formation from the pure elements: -0.02 eV per atom

Unit cell a=8.330 b=8.330 c=8.330 alpha=80.89 beta=80.89 gamma=80.89
Positions (direct):
K 0.168 0.168 0.168
K 0.832 0.832 0.832
In 0.000 0.500 0.500
In 0.142 0.142 0.652
In 0.142 0.652 0.142
In 0.208 0.500 0.792
In 0.208 0.792 0.500
In 0.348 0.858 0.858
In 0.500 0.000 0.500
In 0.500 0.208 0.792
In 0.500 0.500 0.000
In 0.500 0.792 0.208
In 0.652 0.142 0.142
In 0.792 0.208 0.500
In 0.792 0.500 0.208
In 0.858 0.348 0.858
In 0.858 0.858 0.348
Hg 0.400 0.400 0.400
Hg 0.600 0.600 0.600


Below is KIn3Hg10 after structural relaxation, with properties calculated at the GGA-PBE level.

Summary:
size of the total moment: 0.000 μB per cell
total DFT energy (no corrections): -25.03 eV/cell
energy of formation from the pure elements: -0.01 eV per atom

Unit cell a=10.780 b=10.780 c=10.780 alpha=60.00 beta=60.00 gamma=60.00
Positions (direct):
K 0.250 0.250 0.250
K 0.750 0.750 0.750
In 0.230 0.230 0.770
In 0.230 0.770 0.230
In 0.230 0.770 0.770
In 0.770 0.230 0.230
In 0.770 0.230 0.770
In 0.770 0.770 0.230
Hg 0.120 0.120 0.120
Hg 0.120 0.120 0.641
Hg 0.120 0.641 0.120
Hg 0.148 0.500 0.500
Hg 0.148 0.500 0.852
Hg 0.148 0.852 0.500
Hg 0.359 0.880 0.880
Hg 0.500 0.148 0.500
Hg 0.500 0.148 0.852
Hg 0.500 0.500 0.148
Hg 0.500 0.500 0.852
Hg 0.500 0.852 0.148
Hg 0.500 0.852 0.500
Hg 0.641 0.120 0.120
Hg 0.852 0.148 0.500
Hg 0.852 0.500 0.148
Hg 0.852 0.500 0.500
Hg 0.880 0.359 0.880
Hg 0.880 0.880 0.359
Hg 0.880 0.880 0.880


Below is KInHg2 after structural relaxation, with properties calculated at the GGA-PBE level.

Summary:
size of the total moment: 0.000 μB per cell
total DFT energy (no corrections): -4.97 eV/cell
energy of formation from the pure elements: -0.13 eV per atom

Unit cell a=5.178 b=5.178 c=7.516 alpha=96.69 beta=96.69 gamma=38.61
Positions (direct):
K 0.000 0.000 0.000
In 0.500 0.500 0.500
Hg 0.248 0.248 0.711
Hg 0.752 0.752 0.289


Below is K3InHg after structural relaxation, with properties calculated at the GGA-PBE level.

Summary:
size of the total moment: 0.000 μB per cell
total DFT energy (no corrections): -13.99 eV/cell
energy of formation from the pure elements: -0.13 eV per atom
ΔE to the lowest computed polymorph: 0 meV per atom

Unit cell a=9.615 b=9.615 c=5.292 alpha=90.00 beta=90.00 gamma=111.38
Positions (direct):
K 0.108 0.892 0.750
K 0.159 0.443 0.750
K 0.443 0.159 0.250
K 0.557 0.841 0.750
K 0.841 0.557 0.250
K 0.892 0.108 0.250
In 0.453 0.547 0.250
In 0.547 0.453 0.750
Hg 0.264 0.736 0.250
Hg 0.736 0.264 0.750


Below is KIn2Hg8 after structural relaxation, with properties calculated at the GGA-PBE level.

Summary:
size of the total moment: 0.000 μB per cell
total DFT energy (no corrections): -9.56 eV/cell
energy of formation from the pure elements: -0.05 eV per atom

Unit cell a=8.078 b=8.078 c=5.613 alpha=100.58 beta=100.58 gamma=99.05
Positions (direct):
K 0.000 0.000 0.000
In 0.260 0.740 0.500
In 0.740 0.260 0.500
Hg 0.114 0.355 0.622
Hg 0.324 0.676 0.000
Hg 0.355 0.114 0.622
Hg 0.361 0.361 0.236
Hg 0.639 0.639 0.764
Hg 0.645 0.886 0.378
Hg 0.676 0.324 0.000
Hg 0.886 0.645 0.378


Below is KInHg2 after structural relaxation, with properties calculated at the GGA-PBE level.

Summary:
size of the total moment: 0.000 μB per cell
total DFT energy (no corrections): -5.03 eV/cell
energy of formation from the pure elements: -0.15 eV per atom

Unit cell a=3.364 b=5.118 c=7.101 alpha=90.00 beta=95.00 gamma=90.00
Positions (direct):
K 0.000 0.000 0.000
In 0.500 0.000 0.500
Hg 0.447 0.500 0.741
Hg 0.553 0.500 0.259


Below is KIn2Hg after structural relaxation, with properties calculated at the GGA-PBE level.

Summary:
size of the total moment: 0.000 μB per cell
total DFT energy (no corrections): -7.19 eV/cell
energy of formation from the pure elements: -0.08 eV per atom

Unit cell a=3.603 b=5.144 c=6.739 alpha=90.00 beta=102.35 gamma=90.00
Positions (direct):
K 0.000 0.000 0.000
In 0.340 0.500 0.710
In 0.660 0.500 0.290
Hg 0.500 0.000 0.500


Below is K6InHg12 after structural relaxation, with properties calculated at the GGA-PBE level.

Summary:
size of the total moment: 0.000 μB per cell
total DFT energy (no corrections): -17.05 eV/cell
energy of formation from the pure elements: -0.22 eV per atom

Unit cell a=8.777 b=8.777 c=8.777 alpha=98.85 beta=98.85 gamma=98.85
Positions (direct):
K 0.182 0.748 0.346
K 0.252 0.654 0.818
K 0.346 0.182 0.748
K 0.654 0.818 0.252
K 0.748 0.346 0.182
K 0.818 0.252 0.654
In 0.500 0.500 0.500
Hg 0.011 0.068 0.279
Hg 0.068 0.279 0.011
Hg 0.140 0.391 0.461
Hg 0.279 0.011 0.068
Hg 0.391 0.461 0.140
Hg 0.461 0.140 0.391
Hg 0.539 0.860 0.609
Hg 0.609 0.539 0.860
Hg 0.721 0.989 0.932
Hg 0.860 0.609 0.539
Hg 0.932 0.721 0.989
Hg 0.989 0.932 0.721


Below is KIn2Hg after structural relaxation, with properties calculated at the GGA-PBE level.

Summary:
size of the total moment: 0.000 μB per cell
total DFT energy (no corrections): -7.24 eV/cell
energy of formation from the pure elements: -0.09 eV per atom

Unit cell a=7.091 b=7.091 c=7.091 alpha=40.79 beta=40.79 gamma=40.79
Positions (direct):
K 0.000 0.000 0.000
In 0.212 0.212 0.212
In 0.448 0.448 0.448
Hg 0.819 0.819 0.819


Below is KIn6Hg4 after structural relaxation, with properties calculated at the GGA-PBE level.

Summary:
size of the total moment: 0.000 μB per cell
total DFT energy (no corrections): -19.52 eV/cell
energy of formation from the pure elements: -0.07 eV per atom

Unit cell a=8.871 b=8.871 c=4.588 alpha=90.00 beta=90.00 gamma=120.00
Positions (direct):
K 0.000 0.000 0.000
In 0.200 0.400 0.500
In 0.200 0.800 0.500
In 0.534 0.069 0.000
In 0.534 0.466 0.000
In 0.600 0.800 0.500
In 0.931 0.466 0.000
Hg 0.333 0.667 0.000
Hg 0.382 0.191 0.500
Hg 0.809 0.191 0.500
Hg 0.809 0.618 0.500


Below is K3In7Hg2 after structural relaxation, with properties calculated at the GGA-PBE level.

Summary:
size of the total moment: 0.000 μB per cell
total DFT energy (no corrections): -24.55 eV/cell
energy of formation from the pure elements: -0.12 eV per atom

Unit cell a=10.695 b=10.695 c=10.695 alpha=35.46 beta=35.46 gamma=35.46
Positions (direct):
K 0.000 0.000 0.000
K 0.142 0.142 0.142
K 0.858 0.858 0.858
In 0.073 0.586 0.586
In 0.414 0.414 0.927
In 0.414 0.927 0.414
In 0.500 0.500 0.500
In 0.586 0.073 0.586
In 0.586 0.586 0.073
In 0.927 0.414 0.414
Hg 0.336 0.336 0.336
Hg 0.664 0.664 0.664